(1)
## YHo2H8 (PBE)

Data for a geometry-optimized YHo2H8 structure.

```
YHo2H8
1.0
-2.2671 1.1940 2.5606
1.1288 -4.0651 2.8949
4.6335 4.2065 -0.4214
H Ho Y
8 2 1
Direct
0.3381 0.0997 0.6762
0.8411 0.8411 0.6821
0.6619 0.9003 0.3238
0.3381 0.5765 0.6762
0.6619 0.4235 0.3238
0.0000 0.7271 0.0000
0.0000 0.2729 0.0000
0.1589 0.1589 0.3179
0.8312 0.3312 0.6625
0.1688 0.6688 0.3375
0.5000 0.0000 0.0000
```

(2)
## YHo2H (PBE)

Data for a geometry-optimized YHo2H structure.

```
YHo2H
1.0
-0.3261 -3.2824 -0.5339
3.2570 -0.4236 0.6150
-1.6976 -1.1634 8.1892
Y Ho H
1 2 1
Direct
0.5000 0.5000 0.5000
0.0000 0.0000 0.8090
0.0000 0.0000 0.1910
0.5000 0.5000 0.0000
```

(3)
## YHoH (PBE)

Data for a geometry-optimized YHoH structure.

```
YHoH
1.0
-7.0585 6.4262 6.0125
0.3970 -4.6604 5.4471
4.6397 5.4650 -0.3941
Ho H Y
8 8 8
Direct
0.7140 0.3333 0.1667
0.7140 0.8333 0.6667
0.2140 0.6667 0.8333
0.2140 0.6667 0.3333
0.2140 0.1667 0.3333
0.7140 0.3333 0.6667
0.2140 0.1667 0.8333
0.7140 0.8333 0.1667
0.3361 0.8332 0.6665
0.8361 0.1668 0.8332
0.8361 0.6665 0.8332
0.8361 0.1668 0.3335
0.3362 0.3333 0.6667
0.3361 0.8332 0.1668
0.3361 0.3335 0.1668
0.8362 0.6667 0.3333
0.4571 0.5000 0.0000
0.9571 0.0000 0.0000
0.9571 0.5000 0.0000
0.9571 0.5000 0.5000
0.4571 0.0000 0.0000
0.4571 0.5000 0.5000
0.9571 0.0000 0.5000
0.4571 0.0000 0.5000
```

no.,total moment (Bohr magnetons per cell),final energy (Ry per atom)
1,0.0,-0.330
2,0.0,-0.340
3,0.0,-0.370